[1]
Below is a geometry-optimized LiMnBr2 structure, with properties calculated at the PBE-GGA level.

Cell and atoms, written as CIF:
```
data_LiMnBr2
_chemical_formula_sum 'Li4 Mn4 Br8'
_cell_length_a 5.985
_cell_length_b 5.985
_cell_length_c 11.512
_cell_angle_alpha 90.00
_cell_angle_beta 90.00
_cell_angle_gamma 90.00
_space_group_name_H-M_alt 'I -4 2 d'
_space_group_IT_number 122
_space_group_name_Hall 'I -4 2bw'
loop_
_atom_site_label
_atom_site_type_symbol
_atom_site_fract_x
_atom_site_fract_y
_atom_site_fract_z
Li1 Li 0.000 0.000 0.000
Mn1 Mn 0.000 0.000 0.500
Br1 Br 0.246 0.250 0.125
```

Results
Offset from the most stable computed form: 0.15 eV/f.u.
D(E_F): 0.806 states/eV/atom
ΔE_f (raw): -0.6124 eV per atom

***

[2]
Below is a geometry-optimized As2IrPb structure, with properties calculated at the PBE-GGA level.

Cell and atoms, written as CIF:
```
data_As2IrPb
_chemical_formula_sum 'As6 Ir3 Pb3'
_cell_length_a 3.5773
_cell_length_b 3.5773
_cell_length_c 24.2066
_cell_angle_alpha 90.00
_cell_angle_beta 90.00
_cell_angle_gamma 120.00
_space_group_name_H-M_alt 'R -3 m'
_space_group_IT_number 166
_space_group_name_Hall '-R 3 2"'
loop_
_atom_site_label
_atom_site_type_symbol
_atom_site_fract_x
_atom_site_fract_y
_atom_site_fract_z
As1 As 0.0000 0.0000 0.2258
Ir1 Ir 0.0000 0.0000 0.5000
Pb1 Pb 0.0000 0.0000 0.0000
```

Results
Energy of formation: -9 meV per atom
Offset from the most stable computed form: 0.18 eV/f.u.
D(E_F): 0.650 states/eV/atom

***

What is the D(E_F) in the second record?
0.650 states/eV/atom

***

Number 2 is which compound?
As2IrPb

***

Which value of offset from the most stable computed form does entry 1 give?
0.15 eV/f.u.